Record 1
DySi4Ni3 after structural relaxation, computed with PBE.

```
DySi4Ni3
1.0
3.927 0.000 0.000
0.000 3.945 0.000
-0.305 0.000 7.422
Dy Si Ni
1 4 3
Direct
0.000 0.000 0.000
0.020 0.500 0.328
0.470 0.500 0.847
0.536 0.000 0.313
0.570 0.000 0.655
0.061 0.000 0.484
0.508 0.500 0.154
0.948 0.500 0.677
```

---

Record 2
DySiNi3 after structural relaxation, computed with PBE.

```
DySiNi3
1.0
-2.321 5.430 3.170
2.321 -5.430 3.170
2.321 5.430 -3.170
Dy Si Ni
2 2 6
Direct
0.000 0.000 0.000
0.500 0.000 0.500
0.269 0.519 0.750
0.731 0.481 0.250
0.104 0.000 0.604
0.104 0.500 0.104
0.374 0.124 0.250
0.626 0.876 0.750
0.896 0.000 0.396
0.896 0.500 0.896
```

---

Record 3
Dy6SiNi2 after structural relaxation, computed with PBE.

```
Dy6SiNi2
1.0
7.549 0.000 0.000
-3.775 6.538 0.000
0.000 0.000 4.327
Dy Si Ni
6 1 2
Direct
0.000 0.272 0.000
0.000 0.602 0.500
0.272 0.000 0.000
0.398 0.398 0.500
0.602 0.000 0.500
0.728 0.728 0.000
0.000 0.000 0.500
0.333 0.667 0.000
0.667 0.333 0.000
```

---

Record 4
DySiNi2 after structural relaxation, computed with PBE.

```
DySiNi2
1.0
4.243 0.000 0.000
0.000 4.400 0.000
0.000 0.000 6.935
Dy Si Ni
2 2 4
Direct
0.000 0.070 0.000
0.000 0.930 0.500
0.500 0.296 0.674
0.500 0.704 0.174
0.000 0.489 0.744
0.000 0.511 0.244
0.500 0.225 0.317
0.500 0.775 0.817
```

---

Record 5
Dy3Si4Ni after structural relaxation, computed with PBE.

```
Dy3Si4Ni
1.0
5.616 0.000 0.000
0.000 3.784 0.000
-1.342 0.000 7.388
Dy Si Ni
3 4 1
Direct
0.000 0.000 0.000
0.139 0.000 0.474
0.669 0.500 0.610
0.192 0.500 0.768
0.477 0.000 0.838
0.560 0.000 0.259
0.841 0.500 0.255
0.507 0.500 0.029
```

---

Record 6
DySiNi after structural relaxation, computed with PBE.

```
DySiNi
1.0
6.852 0.000 0.000
0.000 4.151 0.000
0.000 0.000 7.161
Dy Si Ni
4 4 4
Direct
0.009 0.250 0.201
0.491 0.750 0.701
0.509 0.250 0.299
0.991 0.750 0.799
0.191 0.250 0.587
0.309 0.750 0.087
0.691 0.250 0.913
0.809 0.750 0.413
0.187 0.750 0.417
0.313 0.250 0.917
0.687 0.750 0.083
0.813 0.250 0.583
```

---

Record 7
DySiNi after structural relaxation, computed with PBE.

```
DySiNi
1.0
6.593 0.000 0.000
-3.297 5.710 0.000
0.000 0.000 4.083
Dy Si Ni
3 3 3
Direct
0.000 0.573 0.000
0.427 0.427 0.000
0.573 0.000 0.000
0.000 0.000 0.000
0.333 0.667 0.500
0.667 0.333 0.500
0.000 0.231 0.500
0.231 0.000 0.500
0.769 0.769 0.500
```

---

Record 8
Dy3SiNi4 after structural relaxation, computed with PBE.

```
Dy3SiNi4
1.0
5.129 0.000 0.000
0.000 4.113 0.000
-0.550 0.000 6.565
Dy Si Ni
3 1 4
Direct
0.000 0.000 0.000
0.206 0.000 0.487
0.702 0.500 0.620
0.466 0.500 0.150
0.239 0.500 0.806
0.487 0.000 0.919
0.648 0.000 0.294
0.950 0.500 0.263
```

---

Record 9
Dy3Si2Ni after structural relaxation, computed with PBE.

```
Dy3Si2Ni
1.0
11.248 0.000 0.000
0.000 4.124 0.000
0.000 0.000 11.198
Dy Si Ni
12 8 4
Direct
0.058 0.250 0.125
0.118 0.750 0.560
0.214 0.250 0.804
0.286 0.750 0.304
0.382 0.250 0.060
0.442 0.750 0.625
0.558 0.250 0.375
0.618 0.750 0.940
0.714 0.250 0.696
0.786 0.750 0.196
0.882 0.250 0.440
0.942 0.750 0.875
0.024 0.750 0.314
0.196 0.750 0.995
0.304 0.250 0.495
0.476 0.250 0.814
0.524 0.750 0.186
0.696 0.750 0.505
0.804 0.250 0.005
0.976 0.250 0.686
0.130 0.250 0.366
0.370 0.750 0.866
0.630 0.250 0.134
0.870 0.750 0.634
```

---

Record 10
DySiNi2 after structural relaxation, computed with PBE.

```
DySiNi2
1.0
5.142 0.000 0.000
0.000 3.993 0.000
-2.131 0.000 6.174
Dy Si Ni
2 2 4
Direct
0.245 0.250 0.248
0.755 0.750 0.752
0.257 0.250 0.746
0.743 0.750 0.254
0.154 0.750 0.548
0.348 0.750 0.950
0.652 0.250 0.050
0.846 0.250 0.452
```

---

Record 11
DySiNi2 after structural relaxation, computed with PBE.

```
DySiNi2
1.0
3.970 0.000 0.000
0.000 5.849 0.000
0.000 0.000 5.352
Dy Si Ni
2 2 4
Direct
0.000 0.094 0.000
0.500 0.906 0.500
0.000 0.607 0.213
0.500 0.393 0.713
0.000 0.289 0.498
0.000 0.636 0.742
0.500 0.364 0.242
0.500 0.711 0.998
```

---

Record 12
Dy4SiNi3 after structural relaxation, computed with PBE.

```
Dy4SiNi3
1.0
5.566 0.000 0.000
0.000 4.078 0.000
-0.035 0.000 7.257
Dy Si Ni
4 1 3
Direct
0.000 0.000 0.000
0.237 0.000 0.495
0.497 0.500 0.850
0.742 0.500 0.367
0.495 0.000 0.140
0.257 0.500 0.208
0.758 0.000 0.645
0.999 0.500 0.712
```

---

Record 13
DySiNi after structural relaxation, computed with PBE.

```
DySiNi
1.0
6.786 0.000 0.000
-3.393 5.877 0.000
0.000 0.000 3.752
Dy Si Ni
3 3 3
Direct
0.000 0.583 0.000
0.417 0.417 0.000
0.583 0.000 0.000
0.000 0.237 0.500
0.237 0.000 0.500
0.763 0.763 0.500
0.000 0.000 0.000
0.333 0.667 0.500
0.667 0.333 0.500
```

---

Record 14
Dy2Si5Ni3 after structural relaxation, computed with PBE.

```
Dy2Si5Ni3
1.0
-4.781 5.559 2.821
4.781 -5.559 2.821
4.781 5.559 -2.821
Dy Si Ni
4 10 6
Direct
0.131 0.236 0.368
0.369 0.736 0.105
0.631 0.264 0.895
0.869 0.764 0.632
0.017 0.750 0.267
0.107 0.653 0.760
0.250 0.250 0.000
0.393 0.153 0.545
0.483 0.750 0.733
0.517 0.250 0.267
0.607 0.847 0.455
0.750 0.750 0.000
0.893 0.347 0.240
0.983 0.250 0.733
0.135 0.888 0.022
0.250 0.750 0.500
0.365 0.388 0.753
0.635 0.612 0.247
0.750 0.250 0.500
0.865 0.112 0.978
```

---

Record 15
DySiNi after structural relaxation, computed with PBE.

```
DySiNi
1.0
7.678 0.000 0.000
-3.839 6.650 0.000
0.000 0.000 3.172
Dy Si Ni
3 3 3
Direct
0.000 0.292 0.000
0.292 0.000 0.000
0.708 0.708 0.000
0.000 0.000 0.500
0.333 0.667 0.000
0.667 0.333 0.000
0.000 0.634 0.500
0.366 0.366 0.500
0.634 0.000 0.500
```

---

Record 16
Sm2DySi4Ni4 after structural relaxation, computed with PBE.

```
Sm2DySi4Ni4
1.0
-1.993 2.019 11.672
1.993 -2.019 11.672
1.993 2.019 -11.672
Sm Dy Si Ni
2 1 4 4
Direct
0.149 0.149 0.000
0.851 0.851 0.000
0.500 0.000 0.500
0.051 0.551 0.500
0.302 0.302 0.000
0.698 0.698 0.000
0.949 0.449 0.500
0.251 0.751 0.500
0.402 0.402 0.000
0.598 0.598 0.000
0.749 0.249 0.500
```

---

Record 17
SmDy2Si4Ni4 after structural relaxation, computed with PBE.

```
SmDy2Si4Ni4
1.0
-1.996 2.015 11.540
1.996 -2.015 11.540
1.996 2.015 -11.540
Sm Dy Si Ni
1 2 4 4
Direct
0.000 0.000 0.000
0.351 0.851 0.500
0.649 0.149 0.500
0.198 0.698 0.500
0.448 0.448 0.000
0.552 0.552 0.000
0.802 0.302 0.500
0.099 0.599 0.500
0.249 0.249 0.000
0.751 0.751 0.000
0.901 0.401 0.500
```

---

Record 18
SmDy2Zn2Si4Ni2 after structural relaxation, computed with PBE.

```
SmDy2Zn2Si4Ni2
1.0
-2.004 2.016 12.169
2.004 -2.016 12.169
2.004 2.016 -12.169
Sm Dy Zn Si Ni
1 2 2 4 2
Direct
0.000 0.000 0.000
0.359 0.859 0.500
0.641 0.141 0.500
0.250 0.250 0.000
0.750 0.750 0.000
0.185 0.685 0.500
0.450 0.450 0.000
0.550 0.550 0.000
0.815 0.315 0.500
0.093 0.593 0.500
0.907 0.407 0.500
```

Summary:
Energy above the most stable polymorph in this dataset: 0.336 eV/f.u.

---

Record 19
SmDy2Zn2Si4Ni2 after structural relaxation, computed with PBE.

```
SmDy2Zn2Si4Ni2
1.0
-2.015 2.031 11.860
2.015 -2.031 11.860
2.015 2.031 -11.860
Sm Dy Zn Si Ni
1 2 2 4 2
Direct
0.000 0.000 0.000
0.346 0.846 0.500
0.654 0.154 0.500
0.100 0.600 0.500
0.900 0.400 0.500
0.201 0.701 0.500
0.450 0.450 0.000
0.550 0.550 0.000
0.799 0.299 0.500
0.251 0.251 0.000
0.749 0.749 0.000
```

Summary:
Energy above the most stable polymorph in this dataset: 0.000 eV/f.u.

---

Record 20
Dy4Si4Ni2Sn after structural relaxation, computed with PBE.

```
Dy4Si4Ni2Sn
1.0
7.605 -2.104 0.000
7.605 2.104 0.000
-2.263 0.000 6.576
Dy Si Ni Sn
4 4 2 1
Direct
0.088 0.088 0.384
0.155 0.155 0.939
0.845 0.845 0.061
0.912 0.912 0.616
0.291 0.291 0.719
0.434 0.434 0.347
0.566 0.566 0.653
0.709 0.709 0.281
0.284 0.284 0.360
0.716 0.716 0.640
0.500 0.500 0.000
```

---

| no. | electronic total energy (eV per atom) |
| --- | --- |
| 1 | -5.97 |
| 2 | -5.57 |
| 3 | -5.20 |
| 4 | -5.78 |
| 5 | -5.77 |
| 6 | -6.01 |
| 7 | -5.89 |
| 8 | -5.64 |
| 9 | -5.78 |
| 10 | -5.98 |
| 11 | -5.90 |
| 12 | -5.60 |
| 13 | -5.92 |
| 14 | -6.10 |
| 15 | -5.33 |
| 16 | -6.08 |
| 17 | -6.09 |
| 18 | -5.16 |
| 19 | -5.19 |
| 20 | -5.82 |